First-principles (SCAN) data for a PBEsol-optimized structure of Re2IrW, as listed in the Alexandria database. Values from VASP.

The structure in Quantum ESPRESSO input format:
```
&SYSTEM
  ibrav = 0, nat = 4, ntyp = 3
/
ATOMIC_SPECIES
Re 186.21 Re.upf
Ir 192.22 Ir.upf
W 183.84 W.upf
CELL_PARAMETERS angstrom
3.876 0.000 0.000
0.000 3.876 0.000
0.000 0.000 3.901
ATOMIC_POSITIONS angstrom
Re 0.000 1.938 0.000
Re 1.938 0.000 0.000
Ir 0.000 0.000 1.950
W 1.938 1.938 1.950
```

Properties
D(E_F)	0.65	states/eV per atom
energy relative to the elements	-0.15	eV per atom
total moment	0.000	μB per atom
SG	No. 123
E	-70.895	eV/atom

=====

First-principles (SCAN) data for a PBEsol-optimized structure of YMg2Al, as listed in the Alexandria database. Values from VASP.

The structure in Quantum ESPRESSO input format:
```
&SYSTEM
  ibrav = 0, nat = 4, ntyp = 3
/
ATOMIC_SPECIES
Y 88.91 Y.upf
Mg 24.30 Mg.upf
Al 26.98 Al.upf
CELL_PARAMETERS angstrom
-0.417 3.658 3.354
-0.872 -1.091 4.781
3.574 0.679 3.401
ATOMIC_POSITIONS angstrom
Y 1.715 2.435 8.651
Mg 0.572 0.812 2.884
Mg 0.000 0.000 0.000
Al 1.143 1.623 5.768
```

Properties
D(E_F)	0.19	states/eV per atom
energy relative to the elements	-0.18	eV per atom
total moment	0.007	μB per atom
SG	No. 216
E	-11.565	eV/atom

=====

First-principles (SCAN) data for a PBEsol-optimized structure of TlCrRe2, as listed in the Alexandria database. Values from VASP.

The structure in Quantum ESPRESSO input format:
```
&SYSTEM
  ibrav = 0, nat = 4, ntyp = 3
/
ATOMIC_SPECIES
Cr 52.00 Cr.upf
Re 186.21 Re.upf
Tl 204.38 Tl.upf
CELL_PARAMETERS angstrom
2.803 0.000 0.000
0.000 3.794 0.000
0.000 0.000 5.943
ATOMIC_POSITIONS angstrom
Cr 1.402 1.897 0.000
Re 0.000 0.000 1.184
Re 0.000 0.000 4.759
Tl 1.402 1.897 2.971
```

Properties
D(E_F)	0.68	states/eV per atom
energy relative to the elements	0.68	eV per atom
total moment	0.001	μB per atom
SG	No. 47
E	-57.555	eV/atom

=====

First-principles (SCAN) data for a PBEsol-optimized structure of MgZr3Ni, as listed in the Alexandria database. Values from VASP.

The structure in Quantum ESPRESSO input format:
```
&SYSTEM
  ibrav = 0, nat = 5, ntyp = 3
/
ATOMIC_SPECIES
Ni 58.69 Ni.upf
Mg 24.30 Mg.upf
Zr 91.22 Zr.upf
CELL_PARAMETERS angstrom
4.839 0.000 0.000
0.000 4.839 0.000
0.000 0.000 4.839
ATOMIC_POSITIONS angstrom
Ni 0.000 0.000 0.000
Mg 2.420 2.420 2.420
Zr 0.000 2.420 0.000
Zr 0.000 0.000 2.420
Zr 2.420 0.000 0.000
```

Properties
D(E_F)	1.65	states/eV per atom
energy relative to the elements	0.15	eV per atom
total moment	0.000	μB per atom
SG	No. 221
E	-22.494	eV/atom

=====

First-principles (SCAN) data for a PBEsol-optimized structure of AlAsBr2F, as listed in the Alexandria database. Values from VASP.

The structure in Quantum ESPRESSO input format:
```
&SYSTEM
  ibrav = 0, nat = 5, ntyp = 4
/
ATOMIC_SPECIES
As 74.92 As.upf
Al 26.98 Al.upf
Br 79.90 Br.upf
F 19.00 F.upf
CELL_PARAMETERS angstrom
-2.163 4.277 0.598
-2.754 -0.852 -3.875
-3.440 -2.148 2.917
ATOMIC_POSITIONS angstrom
As -1.720 -1.074 1.459
Al 0.000 0.000 0.000
Br -1.377 -0.426 -1.937
Br -1.082 2.138 0.299
F -4.179 0.639 -0.180
```

Properties
E_form (uncorrected)	-0.19	eV per atom
D(E_F)	0.54	states/eV per atom
total moment	0.199	μB per atom
SG	No. 123
E	-14.272	eV/atom

=====

First-principles (SCAN) data for a PBEsol-optimized structure of AlZnOs3, as listed in the Alexandria database. Values from VASP.

The structure in Quantum ESPRESSO input format:
```
&SYSTEM
  ibrav = 0, nat = 5, ntyp = 3
/
ATOMIC_SPECIES
Zn 65.41 Zn.upf
Os 190.23 Os.upf
Al 26.98 Al.upf
CELL_PARAMETERS angstrom
-1.280 -1.036 -4.059
-3.943 -1.138 1.533
-1.418 4.101 -0.600
ATOMIC_POSITIONS angstrom
Zn -3.320 0.963 -1.563
Os -1.971 -0.569 0.767
Os -0.709 2.051 -0.300
Os -0.640 -0.518 -2.030
Al 0.000 0.000 0.000
```

Properties
D(E_F)	0.59	states/eV per atom
energy relative to the elements	1.64	eV per atom
total moment	0.371	μB per atom
SG	No. 221
E	-45.745	eV/atom

=====

First-principles (SCAN) data for a PBEsol-optimized structure of CaMg14FeO16, as listed in the Alexandria database. Values from VASP.

The structure in Quantum ESPRESSO input format:
```
&SYSTEM
  ibrav = 0, nat = 32, ntyp = 4
/
ATOMIC_SPECIES
Ca 40.08 Ca.upf
Mg 24.30 Mg.upf
Fe 55.84 Fe.upf
O 16.00 O.upf
CELL_PARAMETERS angstrom
-4.189 -0.078 -0.882
-1.546 -3.403 7.645
-0.844 7.826 3.312
ATOMIC_POSITIONS angstrom
Ca 0.000 0.000 0.000
Mg -0.422 3.913 1.656
Mg -1.195 2.212 5.479
Mg -3.245 -2.570 5.246
Mg -2.490 -0.911 1.517
Mg -3.674 1.325 6.941
Mg -2.904 3.019 3.135
Mg -2.723 5.788 2.025
Mg -3.500 4.130 5.867
Mg -2.310 1.959 0.405
Mg -3.078 0.214 4.209
Mg -1.784 3.299 8.179
Mg -1.021 4.977 4.409
Mg -1.368 -0.554 6.548
Mg -0.606 1.124 2.778
Fe -0.773 -1.701 3.823
O -0.622 5.767 2.441
O -1.399 4.110 6.282
O -0.222 2.058 0.871
O -0.990 0.313 4.675
O -3.887 3.284 7.777
O -3.115 4.983 3.958
O -3.464 -0.639 6.117
O -2.692 1.061 2.298
O -2.095 -0.039 -0.441
O -2.868 -1.740 3.382
O -2.516 3.874 1.215
O -3.289 2.172 5.038
O -1.142 -2.513 5.646
O -0.404 -0.890 1.999
O -1.579 1.366 7.378
O -0.811 3.057 3.580
```

Properties
offset from the most stable computed form	0	meV per atom
E_form (uncorrected)	-2.88	eV per atom
total moment	0.125	μB per atom
SG	No. 47
E	-9.037	eV/atom

=====

First-principles (SCAN) data for a PBEsol-optimized structure of InCu2Ag, as listed in the Alexandria database. Values from VASP.

The structure in Quantum ESPRESSO input format:
```
&SYSTEM
  ibrav = 0, nat = 4, ntyp = 3
/
ATOMIC_SPECIES
Cu 63.55 Cu.upf
Ag 107.87 Ag.upf
In 114.82 In.upf
CELL_PARAMETERS angstrom
-0.670 2.853 -1.980
-4.041 -0.724 0.325
2.213 1.260 4.226
ATOMIC_POSITIONS angstrom
Cu -0.004 0.065 0.096
Cu -0.402 2.517 0.605
Ag -2.095 0.842 1.923
In -0.141 2.289 3.347
```

Properties
D(E_F)	0.27	states/eV per atom
energy relative to the elements	0.06	eV per atom
total moment	0.000	μB per atom
SG	No. 44
E	-23.725	eV/atom